MnCo3As | PBE | relaxed

Cell: 4.259 4.259 4.259 Å, 90.00 90.00 90.00°
Space group Pm-3m (No. 221)
Asymmetric unit:
Mn  0.000  0.000  0.000 (multiplicity 1)
Co  0.000  0.500  0.500 (multiplicity 3)
As  0.500  0.500  0.500 (multiplicity 1)

## Properties
Energy of formation from the pure elements = 1.172 eV/atom
Spin magnetization = 0.582 μB per atom
Offset from the most stable computed form = 15 meV/atom
Calculated total energy = -29.28 eV per cell

KBiF2 | PBE | relaxed

Cell: 6.817 6.817 6.817 Å, 90.00 90.00 90.00°
Space group Fm-3m (No. 225)
Asymmetric unit:
K  0.000  0.000  0.000 (multiplicity 4)
Bi  0.000  0.000  0.500 (multiplicity 4)
F  0.250  0.250  0.250 (multiplicity 8)

## Properties
Formation energy from raw total energies = -1.3515 eV per atom
Spin magnetization = 0.000 μB per atom
Offset from the most stable computed form = 755 meV/atom
Calculated total energy = -56.51 eV per cell